Material: YHfMnGe2
Method: DFT, GGA-PBE
State: relaxed

Values from the calculation:
Raw total energy, eV/atom: -6.6107
Space group: P4/mmm, No. 123
Density, g/cm³: 6.828

Cell lengths 4.704, 5.140, 4.704 Å; angles 90.00, 90.00, 90.00 degrees
Last column: magnetic moment on the atom in μB.
Atoms (fractional coordinates):
Mn1 0.000 0.000 0.000  1.26
Y1 0.000 0.500 0.000  -0.05
Hf1 0.500 0.500 0.500  0.10
Ge1 0.500 0.000 0.000  -0.04
Ge2 0.000 0.000 0.500  -0.02